# PBE-GGA BeGeB, relaxed
# - ΔE to the lowest computed polymorph (kJ per mole of atoms) = 3.9
# - DOS at the Fermi energy (states/eV/f.u.) = 0.418
data_BeGeB
_space_group_name_H-M_alt 'P -1'
_space_group_IT_number 2
_cell_length_a 2.882
_cell_length_b 3.558
_cell_length_c 8.232
_cell_angle_alpha 80.59
_cell_angle_beta 80.34
_cell_angle_gamma 66.13
loop_
_space_group_symop_operation_xyz
'x,y,z'
'-x,-y,-z'
loop_
_atom_site_label
_atom_site_fract_x
_atom_site_fract_y
_atom_site_fract_z
_atom_site_occupancy
Be1 0.022 0.335 0.127 1
Ge1 0.331 0.146 0.676 1
B1 0.256 0.042 0.943 1